# 1
A plane-wave DFT calculation with GGA-PBE was carried out for a geometry-optimized YThGeS structure.

```
YThGeS
1.0
4.168 0.000 0.000
-2.084 3.609 0.000
0.000 0.000 19.804
Y Th Ge S
3 3 3 3
Cartesian
0.000 0.000 0.000
0.000 2.406 13.202
2.084 1.203 6.601
0.000 0.000 9.887
0.000 2.406 3.285
2.084 1.203 16.488
0.000 0.000 4.987
0.000 2.406 18.189
2.084 1.203 11.588
0.000 0.000 14.792
0.000 2.406 8.190
2.084 1.203 1.589
```

M_tot, μB per formula unit: 0.000

=====

# 2
A plane-wave DFT calculation with GGA-PBE was carried out for a geometry-optimized TiGeS3 structure.

```
TiGeS3
1.0
9.247 0.000 0.000
0.000 3.487 0.000
0.000 0.000 13.775
Ti Ge S
4 4 12
Cartesian
1.357 0.872 0.646
3.266 2.615 7.533
5.980 0.872 6.242
7.890 2.615 13.129
0.774 0.872 9.013
3.849 2.615 2.126
5.397 0.872 11.649
8.473 2.615 4.762
0.156 0.872 12.320
1.724 0.872 6.770
2.250 2.615 9.756
2.374 0.872 2.869
2.900 2.615 13.658
4.467 2.615 5.433
4.779 0.872 8.342
6.347 0.872 0.117
6.873 2.615 10.906
6.997 0.872 4.019
7.523 2.615 7.005
9.091 2.615 1.455
```

M_tot, μB per formula unit: 0.000

=====

In eV/atom, the total DFT energy (no corrections) values for the records above are, in order, -7.046 -5.868.